# 1
First-principles (PBE-GGA) data for an optimized crystal structure of Cs2TaTe3O12, as listed in the Alexandria database.

The structure in POSCAR format:
```
Cs2TaTe3O12
1.0
-7.362 0.815 0.479
-3.370 -0.455 6.597
-2.872 6.083 3.136
Cs Ta Te O
2 1 3 12
Direct
0.627 0.627 0.627
0.373 0.373 0.373
0.000 0.000 0.000
0.500 0.000 0.000
0.000 0.500 0.000
0.000 0.000 0.500
0.320 0.320 0.930
0.934 0.934 0.318
0.318 0.934 0.934
0.930 0.320 0.320
0.934 0.318 0.934
0.320 0.930 0.320
0.680 0.680 0.070
0.066 0.066 0.682
0.682 0.066 0.066
0.070 0.680 0.680
0.066 0.682 0.066
0.680 0.070 0.680
```

Computed properties:
The total magnetic moment comes out at 0.000 Bohr magnetons per cell. The uncorrected formation energy comes out at -28.155 eV per formula unit. For the volume, the calculation gives 16.04 Å³ per atom.

---

# 2
First-principles (PBE-GGA) data for an optimized crystal structure of ThNCl, as listed in the Alexandria database.

The structure in POSCAR format:
```
ThNCl
1.0
3.492 0.000 0.000
0.000 3.492 0.000
-1.746 -1.746 5.936
Cl Th N
1 1 1
Direct
0.984 0.984 0.968
0.763 0.763 0.525
0.253 0.253 0.507
```

Computed properties:
The total magnetic moment comes out at 0.000 Bohr magnetons per cell. The uncorrected formation energy comes out at -4.254 eV per formula unit. For the volume, the calculation gives 24.12 Å³ per atom.

---

# 3
First-principles (PBE-GGA) data for an optimized crystal structure of K2LiTa2O7, as listed in the Alexandria database.

The structure in POSCAR format:
```
K2LiTa2O7
1.0
3.994 -0.002 0.011
0.002 3.994 0.011
1.969 1.966 10.968
K Li Ta O
2 1 2 7
Direct
0.808 0.808 0.385
0.192 0.192 0.615
0.000 0.000 0.000
0.594 0.594 0.812
0.406 0.406 0.188
0.500 0.500 0.000
0.320 0.320 0.361
0.680 0.680 0.639
0.913 0.414 0.174
0.414 0.913 0.174
0.586 0.087 0.826
0.087 0.586 0.826
```

Computed properties:
The total magnetic moment comes out at 0.952 Bohr magnetons per cell. The uncorrected formation energy comes out at -28.048 eV per formula unit. For the volume, the calculation gives 14.57 Å³ per atom.

---

# 4
First-principles (PBE-GGA) data for an optimized crystal structure of Be2AgHg, as listed in the Alexandria database.

The structure in POSCAR format:
```
Be2AgHg
1.0
7.754 -0.105 -0.062
7.206 2.867 -0.062
7.206 1.330 2.540
Be Hg Ag
2 1 1
Direct
0.001 0.001 0.001
0.499 0.499 0.499
0.250 0.250 0.250
0.750 0.750 0.750
```

Computed properties:
The calculation puts the total energy at -8.58 eV per cell. The total magnetic moment comes out at 0.000 Bohr magnetons per cell. For the volume, the calculation gives 14.94 Å³ per atom.

---

# 5
First-principles (PBE-GGA) data for an optimized crystal structure of NaBSe3, as listed in the Alexandria database.

The structure in POSCAR format:
```
NaBSe3
1.0
4.616 0.000 0.000
0.000 4.616 0.000
0.000 0.000 4.616
Na B Se
1 1 3
Direct
0.500 0.500 0.500
0.000 0.000 0.000
0.000 0.500 0.000
0.000 0.000 0.500
0.500 0.000 0.000
```

Computed properties:
The total magnetic moment comes out at 0.000 Bohr magnetons per cell. The energy above the lowest structure with this stoichiometry comes out at 3.590 eV per formula unit. The uncorrected formation energy comes out at 1.426 eV per formula unit. For the volume, the calculation gives 19.67 Å³ per atom.

---

# 6
First-principles (PBE-GGA) data for an optimized crystal structure of KMn2HgBr8, as listed in the Alexandria database.

The structure in POSCAR format:
```
KMn2HgBr8
1.0
-6.769 0.589 1.622
2.071 -4.763 -4.671
1.134 -6.445 7.074
K Mn Hg Br
1 2 1 8
Direct
0.000 0.000 0.000
0.667 0.333 0.256
0.333 0.667 0.744
0.000 0.000 0.500
0.333 0.667 0.991
0.322 0.326 0.319
0.674 0.997 0.319
0.667 0.333 0.009
0.326 0.003 0.681
0.678 0.674 0.681
0.997 0.322 0.681
0.003 0.678 0.319
```

Computed properties:
The total magnetic moment comes out at 9.000 Bohr magnetons per cell. The uncorrected formation energy comes out at -9.059 eV per formula unit. For the volume, the calculation gives 33.94 Å³ per atom.

---

# 7
First-principles (PBE-GGA) data for an optimized crystal structure of ThCoNi3, as listed in the Alexandria database.

The structure in POSCAR format:
```
ThCoNi3
1.0
-3.612 -1.493 -2.808
3.054 -3.814 -1.900
-3.363 -1.692 5.224
Th Co Ni
2 2 6
Direct
0.250 0.384 0.768
0.750 0.616 0.232
0.000 0.000 0.000
0.500 0.000 0.000
0.250 0.817 0.635
0.750 0.183 0.365
0.250 0.381 0.295
0.750 0.619 0.705
0.250 0.914 0.295
0.750 0.086 0.705
```

Computed properties:
The total magnetic moment comes out at 2.662 Bohr magnetons per cell. The energy above the lowest structure with this stoichiometry comes out at 0.000 eV per formula unit. For the volume, the calculation gives 14.84 Å³ per atom.

---

# 8
First-principles (PBE-GGA) data for an optimized crystal structure of Mn2CrGe, as listed in the Alexandria database.

The structure in POSCAR format:
```
Mn2CrGe
1.0
-1.309 -2.325 -0.076
0.907 -1.992 -1.527
4.235 -4.099 5.532
Cr Ge Mn
1 1 2
Direct
0.000 0.000 0.000
0.500 0.500 0.500
0.253 0.253 0.241
0.747 0.747 0.759
```

Computed properties:
The calculation puts the total energy at -31.65 eV per cell. The total magnetic moment comes out at 1.426 Bohr magnetons per cell. For the volume, the calculation gives 12.24 Å³ per atom.

---

# 9
First-principles (PBE-GGA) data for an optimized crystal structure of GdLuBe2, as listed in the Alexandria database.

The structure in POSCAR format:
```
GdLuBe2
1.0
-2.510 0.088 2.260
-0.692 -3.244 -0.642
4.329 -1.890 4.880
Gd Be Lu
1 2 1
Direct
0.500 0.500 0.500
0.000 0.000 0.773
0.000 0.000 0.227
0.500 0.500 0.000
```

Computed properties:
The total magnetic moment comes out at 7.547 Bohr magnetons per cell. The energy above the lowest structure with this stoichiometry comes out at 0.000 eV per formula unit. For the volume, the calculation gives 19.38 Å³ per atom.

---

# 10
First-principles (PBE-GGA) data for an optimized crystal structure of ZrCu3Pt4, as listed in the Alexandria database.

The structure in POSCAR format:
```
ZrCu3Pt4
1.0
-4.138 -1.921 1.145
1.435 0.214 5.545
-3.627 8.183 0.623
Pt Cu Zr
8 6 2
Direct
0.500 0.758 0.000
0.500 0.758 0.500
0.500 0.242 0.000
0.500 0.242 0.500
0.130 0.763 0.750
0.870 0.763 0.250
0.870 0.237 0.250
0.130 0.237 0.750
0.000 0.000 0.000
0.000 0.000 0.500
0.639 0.000 0.750
0.361 0.000 0.250
0.609 0.500 0.750
0.391 0.500 0.250
0.000 0.500 0.000
0.000 0.500 0.500
```

Computed properties:
The calculation puts the total energy at -97.66 eV per cell. The total magnetic moment comes out at 0.000 Bohr magnetons per cell. For the volume, the calculation gives 15.12 Å³ per atom.

---

# 11
First-principles (PBE-GGA) data for an optimized crystal structure of KMgMnBr5, as listed in the Alexandria database.

The structure in POSCAR format:
```
KMgMnBr5
1.0
-5.537 -0.395 -5.357
6.713 -0.010 -3.802
-0.246 -8.978 4.159
K Mg Mn Br
2 2 2 10
Direct
0.341 0.659 0.250
0.659 0.341 0.750
0.000 0.000 0.500
0.000 0.000 0.000
0.685 0.315 0.250
0.315 0.685 0.750
0.072 0.928 0.250
0.928 0.072 0.750
0.911 0.313 0.104
0.089 0.687 0.896
0.687 0.089 0.396
0.313 0.911 0.604
0.754 0.626 0.438
0.246 0.374 0.562
0.374 0.246 0.062
0.626 0.754 0.938
```

Computed properties:
The total magnetic moment comes out at 10.000 Bohr magnetons per cell. The uncorrected formation energy comes out at -10.133 eV per formula unit. For the volume, the calculation gives 32.67 Å³ per atom.

---

# 12
First-principles (PBE-GGA) data for an optimized crystal structure of ErSc4Ga2, as listed in the Alexandria database.

The structure in POSCAR format:
```
ErSc4Ga2
1.0
-0.904 -0.998 -4.849
-2.041 -4.416 1.289
-5.438 6.074 2.376
Er Sc Ga
1 4 2
Direct
0.000 0.000 0.000
0.362 0.362 0.724
0.638 0.638 0.276
0.000 0.500 0.000
0.500 0.000 0.000
0.820 0.820 0.641
0.180 0.180 0.359
```

Computed properties:
The calculation puts the total energy at -31.50 eV per cell. The total magnetic moment comes out at 0.614 Bohr magnetons per cell. For the volume, the calculation gives 27.90 Å³ per atom.

---

# 13
First-principles (PBE-GGA) data for an optimized crystal structure of Ag2OsRh, as listed in the Alexandria database.

The structure in POSCAR format:
```
Ag2OsRh
1.0
3.824 0.000 0.000
0.000 3.824 0.000
0.000 0.000 4.400
Ag Os Rh
2 1 1
Direct
0.000 0.500 0.000
0.500 0.000 0.000
0.500 0.500 0.500
0.000 0.000 0.500
```

Computed properties:
The total magnetic moment comes out at 2.349 Bohr magnetons per cell. The energy above the lowest structure with this stoichiometry comes out at 1.834 eV per formula unit. For the volume, the calculation gives 16.09 Å³ per atom.

---

# 14
First-principles (PBE-GGA) data for an optimized crystal structure of La2TlW, as listed in the Alexandria database.

The structure in POSCAR format:
```
La2TlW
1.0
5.236 0.000 0.000
2.618 4.534 0.000
2.618 1.511 4.275
La Tl W
2 1 1
Direct
0.000 0.000 0.000
0.250 0.250 0.250
0.500 0.500 0.500
0.750 0.750 0.750
```

Computed properties:
The total magnetic moment comes out at 2.071 Bohr magnetons per cell. The energy above the lowest structure with this stoichiometry comes out at 0.944 eV per formula unit. For the volume, the calculation gives 25.37 Å³ per atom.

---

# 15
First-principles (PBE-GGA) data for an optimized crystal structure of Er4Co2Sb, as listed in the Alexandria database.

The structure in POSCAR format:
```
Er4Co2Sb
1.0
8.124 -1.876 -0.137
-2.456 7.961 0.253
-2.698 -3.071 5.260
Er Co Sb
8 4 2
Direct
0.949 0.282 0.397
0.375 0.553 0.278
0.817 0.597 0.572
0.802 0.129 0.778
0.400 0.976 0.210
0.227 0.149 0.715
0.535 0.698 0.898
0.853 0.571 0.076
0.449 0.350 0.547
0.775 0.875 0.379
0.603 0.199 0.045
0.124 0.530 0.877
0.283 0.806 0.616
0.058 0.035 0.112
```

Computed properties:
The total magnetic moment comes out at 0.000 Bohr magnetons per cell. The uncorrected formation energy comes out at -2.550 eV per formula unit. For the volume, the calculation gives 22.82 Å³ per atom.

---

# 16
First-principles (PBE-GGA) data for an optimized crystal structure of FeSi2Se, as listed in the Alexandria database.

The structure in POSCAR format:
```
FeSi2Se
1.0
4.796 -0.069 0.007
1.127 4.663 -0.007
-2.268 -3.191 2.772
Fe Se Si
1 1 2
Direct
0.491 0.491 0.000
0.751 0.251 0.500
0.013 0.013 0.000
0.246 0.746 0.500
```

Computed properties:
The total magnetic moment comes out at 2.299 Bohr magnetons per cell. The uncorrected formation energy comes out at 1.869 eV per formula unit. For the volume, the calculation gives 15.53 Å³ per atom.

---

# 17
First-principles (PBE-GGA) data for an optimized crystal structure of Ba2NbPbO6, as listed in the Alexandria database.

The structure in POSCAR format:
```
Ba2NbPbO6
1.0
6.134 -0.002 0.001
-0.002 6.133 0.001
3.067 3.066 4.331
Ba Nb Pb O
2 1 1 6
Direct
0.750 0.250 0.500
0.250 0.750 0.500
0.000 0.000 0.000
0.500 0.500 0.000
0.233 0.233 0.535
0.768 0.767 0.001
0.232 0.768 0.000
0.768 0.232 0.000
0.232 0.233 0.999
0.767 0.767 0.465
```

Computed properties:
The total magnetic moment comes out at 0.000 Bohr magnetons per cell. The uncorrected formation energy comes out at -23.108 eV per formula unit. For the volume, the calculation gives 16.29 Å³ per atom.

---

# 18
First-principles (PBE-GGA) data for an optimized crystal structure of K3Br2O2, as listed in the Alexandria database.

The structure in POSCAR format:
```
K3Br2O2
1.0
5.038 0.000 -0.969
-0.179 4.362 -0.931
-0.705 -0.195 9.918
K Br O
3 2 2
Direct
0.000 0.000 0.000
0.347 0.347 0.695
0.653 0.653 0.305
0.170 0.170 0.339
0.830 0.830 0.661
0.500 0.152 0.000
0.500 0.848 0.000
```

Computed properties:
The total magnetic moment comes out at 1.001 Bohr magnetons per cell. The uncorrected formation energy comes out at -9.187 eV per formula unit. For the volume, the calculation gives 30.58 Å³ per atom.

---

# 19
First-principles (PBE-GGA) data for an optimized crystal structure of TaNiAs2, as listed in the Alexandria database.

The structure in POSCAR format:
```
TaNiAs2
1.0
4.309 0.012 0.000
-0.013 4.309 0.000
0.000 0.000 3.293
As Ni Ta
2 1 1
Direct
0.000 0.000 0.000
0.500 0.500 0.000
0.500 0.000 0.500
0.000 0.500 0.500
```

Computed properties:
The calculation puts the total energy at -27.40 eV per cell. The total magnetic moment comes out at 0.000 Bohr magnetons per cell. For the volume, the calculation gives 15.29 Å³ per atom.

---

# 20
First-principles (PBE-GGA) data for an optimized crystal structure of PmHo2Bi, as listed in the Alexandria database.

The structure in POSCAR format:
```
PmHo2Bi
1.0
3.559 0.000 0.000
1.779 3.082 0.000
1.779 1.027 12.038
Pm Bi Ho
1 1 2
Direct
0.500 0.500 0.500
0.000 0.000 0.000
0.087 0.087 0.739
0.913 0.913 0.261
```

Computed properties:
The total magnetic moment comes out at 0.000 Bohr magnetons per cell. The energy above the lowest structure with this stoichiometry comes out at 1.933 eV per formula unit. For the volume, the calculation gives 33.01 Å³ per atom.

---

# 21
First-principles (PBE-GGA) data for an optimized crystal structure of SrNdNi4, as listed in the Alexandria database.

The structure in POSCAR format:
```
SrNdNi4
1.0
5.209 0.000 0.000
2.604 4.511 0.000
2.604 1.504 4.253
Sr Nd Ni
1 1 4
Direct
0.000 0.000 0.000
0.250 0.250 0.250
0.624 0.624 0.127
0.624 0.127 0.624
0.624 0.624 0.624
0.127 0.624 0.624
```

Computed properties:
The calculation puts the total energy at -30.42 eV per cell. The total magnetic moment comes out at 0.000 Bohr magnetons per cell. For the volume, the calculation gives 16.66 Å³ per atom.

---

# 22
First-principles (PBE-GGA) data for an optimized crystal structure of LaSbN3, as listed in the Alexandria database.

The structure in POSCAR format:
```
LaSbN3
1.0
4.372 0.000 0.000
0.000 4.372 0.000
0.000 0.000 4.372
Sb N La
1 3 1
Direct
0.500 0.500 0.500
0.000 0.500 0.000
0.000 0.000 0.500
0.500 0.000 0.000
0.000 0.000 0.000
```

Computed properties:
The total magnetic moment comes out at 0.000 Bohr magnetons per cell. The uncorrected formation energy comes out at 6.580 eV per formula unit. For the volume, the calculation gives 16.71 Å³ per atom.

---

# 23
First-principles (PBE-GGA) data for an optimized crystal structure of Rb2BiIO6, as listed in the Alexandria database.

The structure in POSCAR format:
```
Rb2BiIO6
1.0
6.052 0.000 0.000
0.000 6.052 0.000
3.026 3.026 4.279
Rb Bi I O
2 1 1 6
Direct
0.750 0.250 0.500
0.250 0.750 0.500
0.000 0.000 0.000
0.500 0.500 0.000
0.275 0.275 0.450
0.725 0.725 0.000
0.275 0.725 0.000
0.725 0.275 0.000
0.275 0.275 0.000
0.725 0.725 0.550
```

Computed properties:
The total magnetic moment comes out at 0.000 Bohr magnetons per cell. The uncorrected formation energy comes out at -10.096 eV per formula unit. For the volume, the calculation gives 15.67 Å³ per atom.

---

# 24
First-principles (PBE-GGA) data for an optimized crystal structure of Na2TbYSe4, as listed in the Alexandria database.

The structure in POSCAR format:
```
Na2TbYSe4
1.0
-1.667 -3.473 1.562
6.123 -3.541 -1.337
0.344 2.897 6.808
Na Tb Y Se
2 1 1 4
Direct
0.500 0.000 0.500
0.000 0.500 0.500
0.500 0.500 0.000
0.000 0.000 0.000
0.500 0.243 0.230
0.500 0.757 0.770
0.000 0.256 0.770
0.000 0.744 0.230
```

Computed properties:
The total magnetic moment comes out at 0.000 Bohr magnetons per cell. The uncorrected formation energy comes out at -13.696 eV per formula unit. For the volume, the calculation gives 26.21 Å³ per atom.